VASP calculation (GGA+U) on a geometry-optimized CaEuNiBiO6 structure.

Summary:
Theoretical density (Mg/m³): 6.95
Energy (eV for the cell shown): -64.56
Crystal system: cubic

Cell lengths 5.727, 5.727, 5.727 Å; angles 60.00, 60.00, 60.00 degrees
Positions (direct):
Ca 0.000 0.000 0.000
Eu 0.500 0.500 0.500
Ni 0.750 0.750 0.750
Bi 0.250 0.250 0.250
O 0.506 0.506 0.994
O 0.506 0.994 0.506
O 0.506 0.994 0.994
O 0.994 0.506 0.506
O 0.994 0.506 0.994
O 0.994 0.994 0.506